Entry 1:
A geometry-optimized CeCu4Au8 structure. Source: Alexandria via LeMat-Bulk, functional PBE-GGA.

The structure belongs to space group I4/mmm (No. 139); the cell edges are 9.213, 9.213 and 5.337 Å and the angles 90.00°, 90.00° and 90.00°. The inequivalent atoms are Ce at (0.000, 0.000, 0.000), Cu at (0.250, 0.250, 0.250), Au at (0.000, 0.219, 0.500) and Au at (0.000, 0.339, 0.000).

The calculation puts the density of states at the Fermi level at 20.5 states/eV/cell. The calculation puts the total energy at -103.13 eV per cell. Its energy relative to the elements is -0.23 eV per atom. Its magnetization is 1.62 Bohr magnetons per cell.

***

Entry 2:
A geometry-optimized AcMgCuPd3 structure. Source: Alexandria via LeMat-Bulk, functional PBE-GGA.

The structure belongs to space group Cmcm (No. 63); the cell edges are 5.941, 12.011 and 7.118 Å and the angles 90.00°, 90.00° and 90.00°. The inequivalent atoms are Ac at (0.000, 0.180, 0.250), Mg at (0.000, 0.126, 0.750), Cu at (0.000, 0.423, 0.250), Pd at (0.000, 0.352, 0.750) and Pd at (0.243, 0.000, 0.000).

The calculation puts the density of states at the Fermi level at 7.6 states/eV/cell. The calculation puts the total energy at -111.26 eV per cell. Its energy relative to the elements is -0.41 eV per atom. Its magnetization is 0.00 Bohr magnetons per cell.